Below is Ba2CuRu after structural relaxation, with properties calculated at the PBEsol level.

Properties
magnetic moment: 0.54 μB per formula unit
energy relative to the elements: 0.5841 eV per atom
density: 7.0 g/cm3
volume: 104.2 Å³ per cell

Cell and atoms, written as CIF:
```
data_Ba2CuRu
_chemical_formula_sum 'Ba2 Cu1 Ru1'
_cell_length_a 5.389
_cell_length_b 5.389
_cell_length_c 3.588
_cell_angle_alpha 90.00
_cell_angle_beta 90.00
_cell_angle_gamma 90.00
_space_group_name_H-M_alt 'P 4/m m m'
_space_group_IT_number 123
_space_group_name_Hall '-P 4 2'
loop_
_atom_site_label
_atom_site_fract_x
_atom_site_fract_y
_atom_site_fract_z
Ba1 0.000 0.500 0.000
Cu1 0.000 0.000 0.500
Ru1 0.500 0.500 0.500
```

Below is BaCuRu3 after structural relaxation, with properties calculated at the PBEsol level.

Properties
magnetic moment: 3.48 μB per formula unit
energy relative to the elements: 3.0433 eV per atom
density: 7.2 g/cm3
volume: 116.0 Å³ per cell

Cell and atoms, written as CIF:
```
data_BaCuRu3
_chemical_formula_sum 'Ba1 Cu1 Ru3'
_cell_length_a 4.877
_cell_length_b 4.877
_cell_length_c 4.877
_cell_angle_alpha 90.00
_cell_angle_beta 90.00
_cell_angle_gamma 90.00
_space_group_name_H-M_alt 'P m -3 m'
_space_group_IT_number 221
_space_group_name_Hall '-P 4 2 3'
loop_
_atom_site_label
_atom_site_fract_x
_atom_site_fract_y
_atom_site_fract_z
Ba1 0.000 0.000 0.000
Cu1 0.500 0.500 0.500
Ru1 0.000 0.000 0.500
```